This record from Alexandria describes a PBEsol-optimized structure of SiMo2Ir. The functional is meta-GGA SCAN.

Output
formation energy without anion corrections: -284 meV per atom
total moment: 0.00 Bohr magnetons per cell
space-group type: No. 8
calculated total energy: -38.01 eV/atom
crystal system: monoclinic

Cell lengths 2.7436, 4.5541, 5.0548 Å; angles 109.22, 105.75, 90.00 degrees
Closest atoms and distances in Å follow each position.
Fractional coordinates of all 4 atoms:
Mo1 0.7801 0.3149 0.5603  3 Si 2.58-2.85, 4 Ir 2.68-2.74, 3 Mo 2.74-2.85
Mo2 0.9777 0.9424 0.9555  4 Si 2.64-2.72, 3 Ir 2.70-2.74, 3 Mo 2.74-2.85
Ir1 0.2238 0.7810 0.4477  2 Si 2.45, 7 Mo 2.68-2.74, 2 Ir 2.74
Si1 0.5183 0.4617 0.0366  2 Ir 2.45, 6 Mo 2.58-2.72, 2 Si 2.74